(1)
NdThCu2, optimized geometry, DFT PBE; space group = No. 6; energy of formation = -0.13 eV per atom; E above lowest polymorph = 0 meV per atom; DOS at the Fermi energy = 1.049 states/eV/atom
1.0
3.788 0.000 0.000
0.000 4.365 0.000
-1.817 0.000 5.637
Nd Th Cu
1 1 2
Cartesian
0.000 0.000 0.000
1.943 2.182 2.370
0.056 0.000 3.205
0.073 2.182 4.708



(2)
Sc2AgW, optimized geometry, DFT PBE; space group = No. 119; energy of formation = 0.26 eV per atom; E above lowest polymorph = 212 meV per atom; DOS at the Fermi energy = 1.095 states/eV/atom
1.0
-2.043 2.043 4.571
2.043 -2.043 4.571
2.043 2.043 -4.571
Sc Ag W
2 1 1
Cartesian
0.000 0.000 0.000
0.000 2.043 2.286
0.000 0.000 4.571
2.043 0.000 2.286



(3)
HoTm6Th3, optimized geometry, DFT PBE; space group = No. 11; energy of formation = 0.08 eV per atom; E above lowest polymorph = 0 meV per atom; DOS at the Fermi energy = 1.579 states/eV/atom
1.0
13.019 0.000 0.000
0.000 3.488 0.000
-4.599 0.000 13.750
Ho Tm Th
2 12 6
Cartesian
0.142 0.872 2.700
8.278 2.616 11.050
1.776 2.616 0.186
-1.697 0.872 11.126
0.040 0.872 8.259
1.520 2.616 5.529
3.378 0.872 3.081
1.481 2.616 10.857
6.939 0.872 2.893
5.042 2.616 10.669
6.900 0.872 8.220
8.380 2.616 5.491
10.116 2.616 2.624
6.644 0.872 13.563
-1.744 0.872 5.426
4.988 0.872 0.062
3.340 0.872 8.120
5.080 2.616 5.629
3.432 2.616 13.687
10.164 2.616 8.324



(4)
Pm2TlPb, optimized geometry, DFT PBE; space group = No. 65; energy of formation = -0.45 eV per atom; E above lowest polymorph = 20 meV per atom; DOS at the Fermi energy = 0.784 states/eV/atom
1.0
3.662 -4.480 0.000
3.662 4.480 0.000
0.000 0.000 3.584
Pm Tl Pb
2 1 1
Cartesian
1.831 2.240 0.000
1.831 -2.240 0.000
0.000 0.000 1.792
3.662 0.000 1.792



(5)
Y4TlBiO, optimized geometry, DFT PBE; space group = No. 63; formation energy without anion corrections = -1185 meV per atom; DOS at the Fermi energy = 0.996 states/eV/atom
1.0
3.244 -8.641 0.000
3.244 8.641 0.000
0.000 0.000 6.422
Y Tl Bi O
8 2 2 2
Cartesian
1.622 4.321 0.000
1.622 4.321 3.211
3.244 7.523 4.816
3.244 1.402 4.816
1.622 -4.321 0.000
1.622 -4.321 3.211
3.244 -1.402 1.605
3.244 -7.523 1.605
3.244 6.675 1.605
3.244 -6.675 4.816
3.244 1.891 1.605
3.244 -1.891 4.816
3.244 3.775 4.816
3.244 -3.775 1.605



(6)
SrGeO2, optimized geometry, DFT PBE; space group = No. 166; formation energy without anion corrections = -1688 meV per atom; DOS at the Fermi energy = 0.152 states/eV/atom
1.0
1.830 1.056 6.320
-1.830 1.056 6.320
0.000 -2.113 6.320
Sr Ge O
1 1 2
Cartesian
0.000 0.000 0.000
0.000 0.000 9.479
0.000 0.000 7.629
0.000 0.000 11.330



(7)
Dy4HoP5, optimized geometry, DFT PBE; space group = No. 87; energy of formation = -1.62 eV per atom; DOS at the Fermi energy = 0.062 states/eV/atom
1.0
-4.476 4.476 2.831
4.476 -4.476 2.831
4.476 4.476 -2.831
Dy Ho P
4 1 5
Cartesian
2.686 0.894 0.000
3.582 -1.790 2.831
0.894 6.267 0.000
1.790 3.582 2.831
0.000 0.000 2.831
0.000 0.000 0.000
5.370 1.796 0.000
1.796 3.582 0.000
2.680 0.894 2.831
-0.894 2.680 2.831



(8)
CeNdPaO6, optimized geometry, DFT PBE; space group = No. 149; formation energy without anion corrections = -3347 meV per atom
1.0
5.918 0.000 0.000
-2.959 5.125 0.000
0.000 0.000 4.709
Ce Nd Pa O
1 1 1 6
Cartesian
0.000 0.000 0.000
2.959 1.708 0.000
0.000 3.416 2.355
-0.876 1.764 1.159
-1.869 3.484 3.550
0.876 1.764 3.550
-0.993 5.001 1.159
1.869 3.484 1.159
0.993 5.001 3.550



(9)
BaNiP2Ru, optimized geometry, DFT PBE; space group = No. 119; energy of formation = -0.82 eV per atom; DOS at the Fermi energy = 0.843 states/eV/atom
1.0
-1.949 1.949 6.370
1.949 -1.949 6.370
1.949 1.949 -6.370
Ba Ni P Ru
1 1 2 1
Cartesian
0.000 0.000 0.000
0.000 1.949 3.185
0.000 0.000 4.424
0.000 0.000 8.316
1.949 0.000 3.185



(10)
Ac3SnO6F2, optimized geometry, DFT PBE; space group = No. 12; formation energy without anion corrections = -2661 meV per atom; DOS at the Fermi energy = 0.647 states/eV/atom
1.0
6.128 -3.639 0.000
6.128 3.639 0.000
-0.233 0.000 5.244
Ac Sn O F
3 1 6 2
Cartesian
0.000 0.000 0.000
2.947 1.819 2.622
2.947 -1.819 2.622
6.011 0.000 2.622
5.202 1.726 3.722
6.821 1.726 1.522
4.164 0.000 1.635
7.859 0.000 3.609
5.202 -1.726 3.722
6.821 -1.726 1.522
2.008 0.000 4.110
10.015 0.000 1.133



(11)
AcLaTlPb, optimized geometry, DFT PBE; space group = No. 99; energy of formation = -0.45 eV per atom; E above lowest polymorph = 0 meV per atom; DOS at the Fermi energy = 1.043 states/eV/atom
1.0
4.239 0.000 0.000
0.000 4.239 0.000
0.000 0.000 7.491
Ac La Tl Pb
1 1 1 1
Cartesian
0.000 0.000 0.000
0.000 0.000 3.784
2.120 2.120 1.985
2.120 2.120 5.527



(12)
Sr3TcAu, optimized geometry, DFT PBE; space group = No. 221; energy of formation = 0.45 eV per atom; E above lowest polymorph = 0 meV per atom; DOS at the Fermi energy = 0.681 states/eV/atom
1.0
5.606 0.000 0.000
0.000 5.606 0.000
0.000 0.000 5.606
Sr Tc Au
3 1 1
Cartesian
0.000 0.000 2.803
0.000 2.803 0.000
2.803 0.000 0.000
0.000 0.000 0.000
2.803 2.803 2.803



(13)
Y4MgZn2Pd, optimized geometry, DFT PBE; space group = No. 166; energy of formation = -0.42 eV per atom; DOS at the Fermi energy = 0.902 states/eV/atom
1.0
2.554 1.475 8.339
-2.554 1.475 8.339
0.000 -2.949 8.339
Y Mg Zn Pd
4 1 2 1
Cartesian
0.000 0.000 2.944
0.000 0.000 9.257
0.000 0.000 15.759
0.000 0.000 22.072
0.000 0.000 12.508
0.000 0.000 6.005
0.000 0.000 19.011
0.000 0.000 0.000



(14)
HoBeNi3, optimized geometry, DFT PBE; space group = No. 63; energy of formation = 0.02 eV per atom; DOS at the Fermi energy = 0.928 states/eV/atom
1.0
2.276 -7.623 0.000
2.276 7.623 0.000
0.000 0.000 4.510
Ho Be Ni
2 2 6
Cartesian
2.276 6.081 3.383
2.276 -6.081 1.128
2.276 1.825 3.383
2.276 -1.825 1.128
1.106 3.547 3.383
1.106 -3.547 1.128
2.276 0.000 0.000
2.276 0.000 2.255
3.445 3.547 3.383
3.445 -3.547 1.128



(15)
Nd2SnO5, optimized geometry, DFT PBE; space group = No. 62; formation energy without anion corrections = -2735 meV per atom; DOS at the Fermi energy = 0.000 states/eV/atom
1.0
7.715 0.000 0.000
0.000 3.858 0.000
0.000 0.000 16.329
Nd Sn O
8 4 20
Cartesian
0.847 0.965 1.391
1.017 0.965 12.122
2.840 2.894 3.957
3.010 2.894 9.555
4.705 0.965 6.773
4.874 0.965 12.371
6.698 2.894 4.207
6.868 2.894 14.938
0.950 0.965 6.993
2.908 2.894 15.158
4.807 0.965 1.171
6.765 2.894 9.335
0.669 2.894 10.648
0.701 2.894 7.644
0.827 2.894 2.852
1.145 2.894 16.304
1.579 2.894 13.547
2.279 0.965 5.382
2.713 0.965 8.140
3.031 0.965 11.016
3.157 0.965 15.808
3.189 0.965 2.484
4.526 2.894 13.845
4.558 2.894 0.520
4.684 2.894 5.312
5.002 2.894 8.189
5.436 2.894 10.946
6.136 0.965 2.782
6.570 0.965 0.024
6.888 0.965 13.477
7.014 0.965 8.685
7.046 0.965 5.681



(16)
Nd4Pt3Au, optimized geometry, DFT PBE; space group = No. 25; energy of formation = -1.06 eV per atom; DOS at the Fermi energy = 0.620 states/eV/atom
1.0
3.911 0.000 0.000
0.000 4.654 0.000
0.000 0.000 10.959
Nd Pt Au
4 3 1
Cartesian
0.000 0.000 0.000
0.000 2.327 2.927
1.955 0.000 5.329
1.955 2.327 8.421
0.000 2.327 5.949
1.955 0.000 2.388
1.955 2.327 0.444
0.000 0.000 7.843



(17)
SrMgAl2In, optimized geometry, DFT PBE; space group = No. 44; energy of formation = -0.23 eV per atom; DOS at the Fermi energy = 0.249 states/eV/atom
1.0
-2.263 2.291 6.060
2.263 -2.291 6.060
2.263 2.291 -6.060
Sr Mg Al In
1 1 2 1
Cartesian
0.000 0.000 0.000
2.263 0.000 2.923
0.000 0.000 7.399
0.000 2.291 2.899
0.000 0.000 4.676



(18)
NiSb2Au, optimized geometry, DFT PBE; space group = No. 139; formation energy without anion corrections = 203 meV per atom; DOS at the Fermi energy = 0.404 states/eV/atom
1.0
-2.282 2.282 3.874
2.282 -2.282 3.874
2.282 2.282 -3.874
Ni Sb Au
1 2 1
Cartesian
0.000 0.000 0.000
2.282 0.000 1.937
0.000 2.282 1.937
0.000 0.000 3.874



(19)
Y4CdOs, optimized geometry, DFT PBE; space group = No. 216; energy of formation = -0.27 eV per atom; E above lowest polymorph = 0 meV per atom; DOS at the Fermi energy = 1.322 states/eV/atom
1.0
0.000 6.844 6.844
6.844 0.000 6.844
6.844 6.844 0.000
Y Cd Os
16 4 4
Cartesian
8.947 4.742 4.742
3.422 3.422 0.804
3.422 0.804 3.422
6.041 3.422 3.422
6.844 6.844 2.609
6.844 2.609 6.844
11.080 6.844 6.844
0.804 3.422 3.422
3.422 6.041 3.422
3.422 3.422 6.041
4.742 8.947 4.742
4.742 4.742 8.947
8.947 8.947 8.947
2.609 6.844 6.844
6.844 11.080 6.844
6.844 6.844 11.080
5.748 5.748 5.748
7.941 7.941 5.748
7.941 5.748 7.941
5.748 7.941 7.941
11.786 8.747 8.747
8.747 11.786 8.747
8.747 8.747 11.786
11.786 11.786 11.786



(20)
LiMnCoRu, optimized geometry, DFT PBE; space group = No. 216; energy of formation = 0.14 eV per atom; DOS at the Fermi energy = 1.375 states/eV/atom
1.0
0.000 2.851 2.851
2.851 0.000 2.851
2.851 2.851 0.000
Li Mn Co Ru
1 1 1 1
Cartesian
0.000 0.000 0.000
2.851 2.851 2.851
4.277 4.277 4.277
1.426 1.426 1.426